No. 1
! BSeN2F, optimized geometry, DFT GGA-PBEsol; values from VASP
&SYSTEM
  ibrav = 0, nat = 5, ntyp = 4
/
ATOMIC_SPECIES
F 19.00 F.upf
B 10.81 B.upf
N 14.01 N.upf
Se 78.96 Se.upf
ATOMIC_POSITIONS crystal
F 0.5000 0.0000 0.0000
B 0.0000 0.0000 0.0000
N 0.0000 0.0000 0.5000
N 0.0000 0.5000 0.0000
Se 0.5000 0.5000 0.5000
CELL_PARAMETERS angstrom
3.2533 0.0000 0.0000
0.0000 3.5422 0.0000
0.0000 0.0000 3.5422
! SG: P4/mmm, No. 123
! crystal system: tetragonal
! Fermi-level density of states: 0.2356 states/eV per atom

No. 2
! BSe2NF, optimized geometry, DFT GGA-PBEsol; values from VASP
&SYSTEM
  ibrav = 0, nat = 5, ntyp = 4
/
ATOMIC_SPECIES
F 19.00 F.upf
Se 78.96 Se.upf
B 10.81 B.upf
N 14.01 N.upf
ATOMIC_POSITIONS crystal
F 0.5000 0.5000 0.5000
Se 0.0000 0.5000 0.0000
Se 0.0000 0.0000 0.5000
B 0.0000 0.0000 0.0000
N 0.5000 0.0000 0.0000
CELL_PARAMETERS angstrom
2.5287 0.0000 0.0000
0.0000 6.3124 0.0000
0.0000 0.0000 6.3124
! SG: P4/mmm, No. 123
! crystal system: tetragonal
! Fermi-level density of states: 0.7808 states/eV per atom

No. 3
! SiBNF2, optimized geometry, DFT GGA-PBEsol; values from VASP
&SYSTEM
  ibrav = 0, nat = 5, ntyp = 4
/
ATOMIC_SPECIES
B 10.81 B.upf
N 14.01 N.upf
F 19.00 F.upf
Si 28.09 Si.upf
ATOMIC_POSITIONS crystal
B 0.0000 0.0000 0.0000
N 0.5000 0.0000 0.0000
F 0.0000 0.0000 0.5000
F 0.0000 0.5000 0.0000
Si 0.5000 0.5000 0.5000
CELL_PARAMETERS angstrom
2.6894 0.0000 0.0000
0.0000 4.3107 0.0000
0.0000 0.0000 4.3107
! SG: P4/mmm, No. 123
! crystal system: tetragonal
! Fermi-level density of states: 0.2196 states/eV per atom

No. 4
! BWN2F, optimized geometry, DFT GGA-PBEsol; values from VASP
&SYSTEM
  ibrav = 0, nat = 5, ntyp = 4
/
ATOMIC_SPECIES
N 14.01 N.upf
B 10.81 B.upf
F 19.00 F.upf
W 183.84 W.upf
ATOMIC_POSITIONS crystal
N 0.0000 0.5000 0.0000
N 0.0000 0.0000 0.5000
B 0.0000 0.0000 0.0000
F 0.5000 0.0000 0.0000
W 0.5000 0.5000 0.5000
CELL_PARAMETERS angstrom
2.9234 0.0000 0.0000
0.0000 3.6443 0.0000
0.0000 0.0000 3.6443
! SG: P4/mmm, No. 123
! crystal system: tetragonal
! Fermi-level density of states: 0.3541 states/eV per atom

No. 5
! ZnBN2F, optimized geometry, DFT GGA-PBEsol; values from VASP
&SYSTEM
  ibrav = 0, nat = 5, ntyp = 4
/
ATOMIC_SPECIES
Zn 65.41 Zn.upf
F 19.00 F.upf
B 10.81 B.upf
N 14.01 N.upf
ATOMIC_POSITIONS crystal
Zn 0.5000 0.5000 0.5000
F 0.0000 0.0000 0.5000
B 0.0000 0.0000 0.0000
N 0.5000 0.0000 0.0000
N 0.0000 0.5000 0.0000
CELL_PARAMETERS angstrom
3.0906 0.0000 0.0000
0.0000 3.0906 0.0000
0.0000 0.0000 4.6272
! SG: P4/mmm, No. 123
! crystal system: tetragonal
! Fermi-level density of states: 0.3081 states/eV per atom

No. 6
! Na2BF, optimized geometry, DFT GGA-PBEsol; values from VASP
&SYSTEM
  ibrav = 0, nat = 4, ntyp = 3
/
ATOMIC_SPECIES
B 10.81 B.upf
F 19.00 F.upf
Na 22.99 Na.upf
ATOMIC_POSITIONS crystal
B 0.0000 0.0000 0.0000
F 0.5000 0.5000 0.5000
Na 0.7500 0.7500 0.7500
Na 0.2500 0.2500 0.2500
CELL_PARAMETERS angstrom
4.4995 0.0000 0.0000
2.2497 3.8967 0.0000
2.2497 1.2989 3.6738
! SG: Fm-3m, No. 225
! crystal system: cubic
! Fermi-level density of states: 1.1158 states/eV per atom

No. 7
! Na2BSO4F3, optimized geometry, DFT GGA-PBEsol; values from VASP
&SYSTEM
  ibrav = 0, nat = 22, ntyp = 5
/
ATOMIC_SPECIES
Na 22.99 Na.upf
S 32.06 S.upf
F 19.00 F.upf
O 16.00 O.upf
B 10.81 B.upf
ATOMIC_POSITIONS crystal
Na 0.2615 0.5855 0.2334
Na 0.2746 0.1521 0.6100
Na 0.7385 0.4145 0.7666
Na 0.7254 0.8479 0.3900
S 0.2332 0.6460 0.7234
S 0.7668 0.3540 0.2766
F 0.3193 0.0858 0.9379
F 0.0886 0.9275 0.2581
F 0.9114 0.0725 0.7419
F 0.6807 0.9142 0.0621
F 0.2382 0.2206 0.2703
F 0.7618 0.7794 0.7297
O 0.0279 0.7583 0.8947
O 0.9721 0.2417 0.1053
O 0.3512 0.7996 0.5540
O 0.6488 0.2004 0.4460
O 0.8474 0.5025 0.3726
O 0.1526 0.4975 0.6274
O 0.3585 0.5497 0.8524
O 0.6415 0.4503 0.1476
B 0.1572 0.1184 0.1445
B 0.8428 0.8816 0.8555
CELL_PARAMETERS angstrom
6.5923 0.0525 -0.0510
0.7148 6.5706 0.0163
2.6143 0.4267 6.0796
! SG: P-1, No. 2
! crystal system: triclinic
! Fermi-level density of states: 0.0000 states/eV per atom

No. 8
! NaBOsF2, optimized geometry, DFT GGA-PBEsol; values from VASP
&SYSTEM
  ibrav = 0, nat = 5, ntyp = 4
/
ATOMIC_SPECIES
Os 190.23 Os.upf
F 19.00 F.upf
B 10.81 B.upf
Na 22.99 Na.upf
ATOMIC_POSITIONS crystal
Os 0.0000 0.0000 0.0000
F 0.0000 0.5000 0.0000
F 0.5000 0.0000 0.0000
B 0.5000 0.5000 0.5000
Na 0.0000 0.0000 0.5000
CELL_PARAMETERS angstrom
3.9246 0.0000 0.0000
0.0000 3.9246 0.0000
0.0000 0.0000 5.9073
! SG: P4/mmm, No. 123
! crystal system: tetragonal
! Fermi-level density of states: 0.9033 states/eV per atom

no.,electronic total energy (eV/f.u.)
1,-26.89
2,-24.18
3,-28.63
4,-38.00
5,-26.61
6,-11.43
7,-66.10
8,-20.80